The following is a DFT calculation (PBE) of PaSi4Ni2Ru after structural relaxation.

- Energy: -6.960 eV per atom
- E_form (uncorrected): -0.4570 eV per atom
- Total magnetic moment: 0.68 μB/cell

Geometry as CIF:
```
data_PaSi4Ni2Ru
_chemical_formula_sum 'Pa3 Si12 Ni6 Ru3'
_space_group_name_H-M_alt 'R -3 m'
_space_group_IT_number 166
_space_group_name_Hall '-R 3 2"'
_cell_length_a 3.9338
_cell_length_b 3.9338
_cell_length_c 25.9854
_cell_angle_alpha 90.00
_cell_angle_beta 90.00
_cell_angle_gamma 120.00
loop_
_atom_site_label
_atom_site_fract_x
_atom_site_fract_y
_atom_site_fract_z
Pa1 0.0000 0.0000 0.0000
Si1 0.0000 0.0000 0.1230
Si2 0.0000 0.0000 0.4024
Ni1 0.0000 0.0000 0.2395
Ru1 0.0000 0.0000 0.5000
```

The following is a DFT calculation (PBE) of Pa2Si3Ni4Ru after structural relaxation.

- Energy: -7.409 eV per atom
- E_form (uncorrected): -0.6425 eV per atom
- Total magnetic moment: 0.00 μB/cell

Geometry as CIF:
```
data_Pa2Si3Ni4Ru
_chemical_formula_sum 'Pa2 Si3 Ni4 Ru1'
_space_group_name_H-M_alt 'P -4 m 2'
_space_group_IT_number 115
_space_group_name_Hall 'P -4 -2'
_cell_length_a 3.799
_cell_length_b 3.799
_cell_length_c 10.451
_cell_angle_alpha 90.00
_cell_angle_beta 90.00
_cell_angle_gamma 90.00
loop_
_atom_site_label
_atom_site_fract_x
_atom_site_fract_y
_atom_site_fract_z
Pa1 0.000 0.500 0.244
Si1 0.000 0.000 0.000
Si2 0.000 0.500 0.620
Ni1 0.000 0.000 0.500
Ni2 0.000 0.500 0.838
Ni3 0.500 0.500 0.500
Ru1 0.500 0.500 0.000
```

The following is a DFT calculation (PBE) of PaSi2NiRu after structural relaxation.

- Energy: -7.844 eV per atom
- E_form (uncorrected): -0.7639 eV per atom
- Total magnetic moment: 0.00 μB/cell

Geometry as CIF:
```
data_PaSi2NiRu
_chemical_formula_sum 'Pa2 Si4 Ni2 Ru2'
_space_group_name_H-M_alt 'I -4 m 2'
_space_group_IT_number 119
_space_group_name_Hall 'I -4 -2'
_cell_length_a 3.972
_cell_length_b 3.972
_cell_length_c 10.000
_cell_angle_alpha 90.00
_cell_angle_beta 90.00
_cell_angle_gamma 90.00
loop_
_atom_site_label
_atom_site_fract_x
_atom_site_fract_y
_atom_site_fract_z
Pa1 0.000 0.000 0.000
Si1 0.000 0.000 0.381
Ni1 0.000 0.500 0.750
Ru1 0.000 0.500 0.250
```

The following is a DFT calculation (PBE) of SmPaNiRu after structural relaxation.

- Energy: -7.536 eV per atom
- Total magnetic moment: 0.00 μB/cell

Geometry as CIF:
```
data_SmPaNiRu
_chemical_formula_sum 'Sm4 Pa4 Ni4 Ru4'
_space_group_name_H-M_alt 'F -4 3 m'
_space_group_IT_number 216
_space_group_name_Hall 'F -4 2 3'
_cell_length_a 6.855
_cell_length_b 6.855
_cell_length_c 6.855
_cell_angle_alpha 90.00
_cell_angle_beta 90.00
_cell_angle_gamma 90.00
loop_
_atom_site_label
_atom_site_fract_x
_atom_site_fract_y
_atom_site_fract_z
Sm1 0.000 0.000 0.000
Pa1 0.000 0.000 0.500
Ni1 0.250 0.250 0.750
Ru1 0.250 0.250 0.250
```

The following is a DFT calculation (PBE) of ThPaNiRu after structural relaxation.

- Energy: -8.245 eV per atom
- Total magnetic moment: 0.00 μB/cell

Geometry as CIF:
```
data_ThPaNiRu
_chemical_formula_sum 'Th4 Pa4 Ni4 Ru4'
_space_group_name_H-M_alt 'F -4 3 m'
_space_group_IT_number 216
_space_group_name_Hall 'F -4 2 3'
_cell_length_a 6.919
_cell_length_b 6.919
_cell_length_c 6.919
_cell_angle_alpha 90.00
_cell_angle_beta 90.00
_cell_angle_gamma 90.00
loop_
_atom_site_label
_atom_site_fract_x
_atom_site_fract_y
_atom_site_fract_z
Th1 0.000 0.000 0.000
Pa1 0.000 0.000 0.500
Ni1 0.250 0.250 0.250
Ru1 0.250 0.250 0.750
```

The following is a DFT calculation (PBE) of TmPaNiRu after structural relaxation.

- Energy: -7.608 eV per atom
- Total magnetic moment: 0.00 μB/cell

Geometry as CIF:
```
data_TmPaNiRu
_chemical_formula_sum 'Tm4 Pa4 Ni4 Ru4'
_space_group_name_H-M_alt 'F -4 3 m'
_space_group_IT_number 216
_space_group_name_Hall 'F -4 2 3'
_cell_length_a 6.766
_cell_length_b 6.766
_cell_length_c 6.766
_cell_angle_alpha 90.00
_cell_angle_beta 90.00
_cell_angle_gamma 90.00
loop_
_atom_site_label
_atom_site_fract_x
_atom_site_fract_y
_atom_site_fract_z
Tm1 0.000 0.000 0.000
Pa1 0.000 0.000 0.500
Ni1 0.250 0.250 0.750
Ru1 0.250 0.250 0.250
```

The following is a DFT calculation (PBE) of UPaNiRu after structural relaxation.

- Energy: -9.282 eV per atom
- Total magnetic moment: 4.52 μB/cell

Geometry as CIF:
```
data_UPaNiRu
_chemical_formula_sum 'U4 Pa4 Ni4 Ru4'
_space_group_name_H-M_alt 'F -4 3 m'
_space_group_IT_number 216
_space_group_name_Hall 'F -4 2 3'
_cell_length_a 6.491
_cell_length_b 6.491
_cell_length_c 6.491
_cell_angle_alpha 90.00
_cell_angle_beta 90.00
_cell_angle_gamma 90.00
loop_
_atom_site_label
_atom_site_fract_x
_atom_site_fract_y
_atom_site_fract_z
U1 0.000 0.000 0.000
Pa1 0.250 0.250 0.250
Ni1 0.000 0.000 0.500
Ru1 0.250 0.250 0.750
```

The following is a DFT calculation (PBE) of YPaNiRu after structural relaxation.

- Energy: -8.040 eV per atom
- Polymorph energy (0 for the lowest one): 209 meV per atom
- Total magnetic moment: 0.00 μB/cell

Geometry as CIF:
```
data_YPaNiRu
_chemical_formula_sum 'Y4 Pa4 Ni4 Ru4'
_space_group_name_H-M_alt 'F -4 3 m'
_space_group_IT_number 216
_space_group_name_Hall 'F -4 2 3'
_cell_length_a 6.812
_cell_length_b 6.812
_cell_length_c 6.812
_cell_angle_alpha 90.00
_cell_angle_beta 90.00
_cell_angle_gamma 90.00
loop_
_atom_site_label
_atom_site_fract_x
_atom_site_fract_y
_atom_site_fract_z
Y1 0.000 0.000 0.000
Pa1 0.000 0.000 0.500
Ni1 0.250 0.250 0.250
Ru1 0.250 0.250 0.750
```

The following is a DFT calculation (PBE) of YPaNiRu after structural relaxation.

- Energy: -8.249 eV per atom
- Polymorph energy (0 for the lowest one): 0 meV per atom
- Total magnetic moment: 0.00 μB/cell

Geometry as CIF:
```
data_YPaNiRu
_chemical_formula_sum 'Y2 Pa2 Ni2 Ru2'
_space_group_name_H-M_alt 'A m m 2'
_space_group_IT_number 38
_space_group_name_Hall 'A 2 -2'
_cell_length_a 3.962
_cell_length_b 3.679
_cell_length_c 11.337
_cell_angle_alpha 90.00
_cell_angle_beta 90.00
_cell_angle_gamma 90.00
loop_
_atom_site_label
_atom_site_fract_x
_atom_site_fract_y
_atom_site_fract_z
Y1 0.000 0.000 0.000
Pa1 0.500 0.000 0.732
Ni1 0.500 0.000 0.430
Ru1 0.000 0.000 0.261
```

The following is a DFT calculation (PBE) of PaZnNiRu after structural relaxation.

- Energy: -6.723 eV per atom
- Total magnetic moment: 0.00 μB/cell

Geometry as CIF:
```
data_PaZnNiRu
_chemical_formula_sum 'Pa4 Zn4 Ni4 Ru4'
_space_group_name_H-M_alt 'F -4 3 m'
_space_group_IT_number 216
_space_group_name_Hall 'F -4 2 3'
_cell_length_a 6.451
_cell_length_b 6.451
_cell_length_c 6.451
_cell_angle_alpha 90.00
_cell_angle_beta 90.00
_cell_angle_gamma 90.00
loop_
_atom_site_label
_atom_site_fract_x
_atom_site_fract_y
_atom_site_fract_z
Pa1 0.000 0.000 0.000
Zn1 0.000 0.000 0.500
Ni1 0.250 0.250 0.750
Ru1 0.250 0.250 0.250
```